A plane-wave DFT calculation with GGA-PBE was carried out for a geometry-optimized RhCl structure. Values from VASP.

Geometry as Quantum ESPRESSO input:
```
&SYSTEM
  ibrav = 0, nat = 16, ntyp = 2
/
ATOMIC_SPECIES
Rh 102.91 Rh.upf
Cl 35.45 Cl.upf
ATOMIC_POSITIONS crystal
Rh 0.0363 0.6131 0.0000
Rh 0.1300 0.4582 0.5000
Rh 0.3869 0.0363 0.0000
Rh 0.4582 0.8700 0.5000
Rh 0.5418 0.1300 0.5000
Rh 0.6131 0.9637 0.0000
Rh 0.8700 0.5418 0.5000
Rh 0.9637 0.3869 0.0000
Cl 0.0804 0.7592 0.5000
Cl 0.2408 0.0804 0.5000
Cl 0.2729 0.4134 0.0000
Cl 0.4134 0.7271 0.0000
Cl 0.5866 0.2729 0.0000
Cl 0.7271 0.5866 0.0000
Cl 0.7592 0.9196 0.5000
Cl 0.9196 0.2408 0.5000
CELL_PARAMETERS angstrom
10.8205 0.0000 0.0000
0.0000 10.8205 0.0000
0.0000 0.0000 3.4330
```

raw formation energy: -89 meV/atom
total magnetic moment: 0.2364 μB per atom

A plane-wave DFT calculation with GGA-PBE was carried out for a geometry-optimized Rh5Cl structure. Values from VASP.

Geometry as Quantum ESPRESSO input:
```
&SYSTEM
  ibrav = 0, nat = 6, ntyp = 2
/
ATOMIC_SPECIES
Rh 102.91 Rh.upf
Cl 35.45 Cl.upf
ATOMIC_POSITIONS crystal
Rh 0.0000 0.0000 0.0000
Rh 0.0000 0.3293 0.3293
Rh 0.0000 0.6582 0.6582
Rh 0.5000 0.1099 0.1099
Rh 0.5000 0.7657 0.7657
Cl 0.5000 0.4147 0.4147
CELL_PARAMETERS angstrom
4.3924 0.0000 0.0000
0.0000 1.4061 7.2167
0.0000 -1.4061 7.2167
```

raw formation energy: 390 meV/atom
offset from the most stable computed form: 0.128 eV per atom
total magnetic moment: 0.0029 μB per atom

A plane-wave DFT calculation with GGA-PBE was carried out for a geometry-optimized RuRhCl2 structure. Values from VASP.

Geometry as Quantum ESPRESSO input:
```
&SYSTEM
  ibrav = 0, nat = 4, ntyp = 3
/
ATOMIC_SPECIES
Ru 101.07 Ru.upf
Rh 102.91 Rh.upf
Cl 35.45 Cl.upf
ATOMIC_POSITIONS crystal
Ru 0.0000 0.0000 0.0000
Rh 0.5000 0.5000 0.0000
Cl 0.2280 0.7280 0.5000
Cl 0.7720 0.2720 0.5000
CELL_PARAMETERS angstrom
-1.4471 2.6698 4.1831
1.4471 -2.6698 4.1831
1.4471 2.6698 -4.1831
```

raw formation energy: 530 meV/atom
offset from the most stable computed form: 0.531 eV per atom
total magnetic moment: 0.0001 μB per atom

A plane-wave DFT calculation with GGA-PBE was carried out for a geometry-optimized RuRhCl2 structure. Values from VASP.

Geometry as Quantum ESPRESSO input:
```
&SYSTEM
  ibrav = 0, nat = 4, ntyp = 3
/
ATOMIC_SPECIES
Ru 101.07 Ru.upf
Rh 102.91 Rh.upf
Cl 35.45 Cl.upf
ATOMIC_POSITIONS crystal
Ru 0.0000 0.0000 0.0000
Rh 0.5000 0.5000 0.5000
Cl 0.4052 0.4052 0.4052
Cl 0.5948 0.5948 0.5948
CELL_PARAMETERS angstrom
1.5648 0.9034 8.0485
-1.5648 0.9034 8.0485
0.0000 -1.8069 8.0485
```

raw formation energy: 450 meV/atom
offset from the most stable computed form: 0.450 eV per atom
total magnetic moment: 0.3919 μB per atom

A plane-wave DFT calculation with GGA-PBE was carried out for a geometry-optimized RuRhCl2 structure. Values from VASP.

Geometry as Quantum ESPRESSO input:
```
&SYSTEM
  ibrav = 0, nat = 4, ntyp = 3
/
ATOMIC_SPECIES
Ru 101.07 Ru.upf
Rh 102.91 Rh.upf
Cl 35.45 Cl.upf
ATOMIC_POSITIONS crystal
Ru 0.0000 0.0000 0.0000
Rh 0.5000 0.0000 0.5000
Cl 0.0000 0.5000 0.5000
Cl 0.5000 0.5000 0.0000
CELL_PARAMETERS angstrom
2.8902 0.0000 0.0000
0.0000 4.0676 0.0000
0.0000 0.0000 5.4600
```

raw formation energy: 567 meV/atom
offset from the most stable computed form: 0.568 eV per atom
total magnetic moment: 0.0019 μB per atom

A plane-wave DFT calculation with GGA-PBE was carried out for a geometry-optimized RuRhCl structure. Values from VASP.

Geometry as Quantum ESPRESSO input:
```
&SYSTEM
  ibrav = 0, nat = 3, ntyp = 3
/
ATOMIC_SPECIES
Ru 101.07 Ru.upf
Rh 102.91 Rh.upf
Cl 35.45 Cl.upf
ATOMIC_POSITIONS crystal
Ru 0.0000 0.0000 0.0000
Rh 0.3333 0.6667 0.6802
Cl 0.6667 0.3333 0.3254
CELL_PARAMETERS angstrom
2.9242 0.0000 0.0000
-1.4621 2.5325 0.0000
0.0000 0.0000 6.1084
```

raw formation energy: 366 meV/atom
offset from the most stable computed form: 0.000 eV per atom
total magnetic moment: 0.0000 μB per atom

Among the records above, which one has the highest raw formation energy?
number 5